Mg3Hg | Alexandria via LeMat-Bulk | meta-GGA SCAN | single point on PBEsol structure; DFT formation energy = -0.205 eV/atom; crystal system = orthorhombic
1.0
-0.9278 3.1358 -0.3965
-4.5841 -1.4781 -0.9632
-1.1592 0.2969 5.0612
Mg Hg
3 1
Direct
0.0000 0.5000 0.3399
0.5000 0.0000 0.4882
0.5000 0.5000 0.8470
0.0000 0.0000 0.9916

La2Y | Alexandria via LeMat-Bulk | meta-GGA SCAN | single point on PBEsol structure; polymorph energy (0 for the lowest one) = 24 meV per atom; DFT formation energy = 0.040 eV/atom; crystal system = monoclinic
1.0
-0.4357 -2.6969 -2.3970
5.3129 -1.9070 3.9351
-6.8913 -2.7148 4.3069
Y La
2 4
Direct
0.0552 0.1105 0.6145
0.7205 0.4409 0.9410
0.0013 0.0026 0.0005
0.3896 0.7793 0.2736
0.6674 0.3347 0.3380
0.3327 0.6653 0.6656

NiRuPt2 | Alexandria via LeMat-Bulk | meta-GGA SCAN | single point on PBEsol structure; polymorph energy (0 for the lowest one) = 98 meV per atom; DFT formation energy = 0.025 eV/atom; crystal system = orthorhombic
1.0
2.6901 0.0000 0.0000
0.0000 3.7398 0.0000
0.0000 0.0000 5.3724
Ru Pt Ni
1 2 1
Direct
0.0000 0.0000 0.5071
0.0000 0.0000 0.9865
0.5000 0.5000 0.2632
0.5000 0.5000 0.7432

YAg2Pb2 | Alexandria via LeMat-Bulk | meta-GGA SCAN | single point on PBEsol structure; DFT formation energy = -0.178 eV/atom; crystal system = tetragonal
1.0
4.3058 0.0000 0.0000
0.0000 4.3058 0.0000
-2.1529 -2.1529 6.5390
Pb Y Ag
2 1 2
Direct
0.3895 0.3895 0.7789
0.6105 0.6105 0.2211
0.0000 0.0000 0.0000
0.2500 0.7500 0.5000
0.7500 0.2500 0.5000

Q: Among the records above, which one has the highest DFT formation energy?
A: La2Y

Q: Which of these has the highest DFT formation energy?
A: La2Y

What did the third record say?
NiRuPt2 | Alexandria via LeMat-Bulk | meta-GGA SCAN | single point on PBEsol structure; polymorph energy (0 for the lowest one) = 98 meV per atom; DFT formation energy = 0.025 eV/atom; crystal system = orthorhombic
1.0
2.6901 0.0000 0.0000
0.0000 3.7398 0.0000
0.0000 0.0000 5.3724
Ru Pt Ni
1 2 1
Direct
0.0000 0.0000 0.5071
0.0000 0.0000 0.9865
0.5000 0.5000 0.2632
0.5000 0.5000 0.7432

Q: Which formula does entry 4 have?
A: YAg2Pb2